PBE with a Hubbard U NpCrGa2O8, optimized geometry; space-group type = No. 65; total DFT energy (no corrections) = -7.55 eV per atom; N(E_F) = 3.98 states/eV per cell; magnetization = 3.0 μB/f.u.
1.0
3.2961 -3.3978 0.0000
3.2961 3.3978 0.0000
0.0000 0.0000 6.1557
Np Cr Ga O
1 1 2 8
direct
0.0000 0.0000 0.0000
0.0000 0.0000 0.5000
0.5000 0.5000 0.2664
0.5000 0.5000 0.7336
0.1925 0.8075 0.2501
0.1925 0.8075 0.7499
0.3031 0.3031 0.5000
0.3128 0.3128 0.0000
0.6872 0.6872 0.0000
0.6969 0.6969 0.5000
0.8075 0.1925 0.2501
0.8075 0.1925 0.7499

---

PBE with a Hubbard U CrGaO4, optimized geometry; space-group type = No. 63; total DFT energy (no corrections) = -6.46 eV per atom; magnetization = 1.0 μB/f.u.; offset from the most stable computed form = 0.182 eV/f.u.
1.0
3.4007 -3.9164 0.0000
3.4007 3.9164 0.0000
0.0000 0.0000 5.9724
Cr Ga O
2 2 8
direct
0.1733 0.8267 0.7500
0.8267 0.1733 0.2500
0.4529 0.5471 0.2500
0.5471 0.4529 0.7500
0.1483 0.2631 0.2500
0.2631 0.1483 0.7500
0.3387 0.6613 0.5415
0.3387 0.6613 0.9585
0.6613 0.3387 0.0415
0.6613 0.3387 0.4585
0.7369 0.8517 0.2500
0.8517 0.7369 0.7500

---

PBE with a Hubbard U Cr3GaO, optimized geometry; space-group type = No. 221; total DFT energy (no corrections) = -4.96 eV per atom; N(E_F) = 4.31 states/eV per cell; magnetization = 12.8 μB/f.u.; offset from the most stable computed form = 6.970 eV/f.u.
1.0
4.8951 0.0000 0.0000
0.0000 4.8951 0.0000
0.0000 0.0000 4.8951
Cr Ga O
3 1 1
direct
0.0000 0.0000 0.5000
0.0000 0.5000 0.0000
0.5000 0.0000 0.0000
0.0000 0.0000 0.0000
0.5000 0.5000 0.5000

---

PBE with a Hubbard U Cr2Ga2O5, optimized geometry; space-group type = No. 12; total DFT energy (no corrections) = -6.73 eV per atom; magnetization = 8.0 μB/f.u.
1.0
7.3052 -1.5651 0.0000
7.3052 1.5651 0.0000
-1.5311 0.0000 5.1667
Cr Ga O
2 2 5
direct
0.0612 0.0612 0.2734
0.9388 0.9388 0.7266
0.3345 0.3345 0.1420
0.6655 0.6655 0.8580
0.1852 0.1852 0.0580
0.3906 0.3906 0.4813
0.5000 0.5000 0.0000
0.6094 0.6094 0.5187
0.8148 0.8148 0.9420

---

Q: Among the records above, which one has the lowest magnetization?
A: CrGaO4